(1)
Computed, not measured: a geometry-optimized Li4Ag2Au structure at the PBE level of DFT.

Cell: 4.382 5.476 5.476 Å, 108.73 90.00 90.00°
Fractional positions:
Li 0.000 0.777 0.777
Li 0.000 0.223 0.223
Li 0.500 0.000 0.500
Li 0.500 0.500 0.000
Ag 0.000 0.727 0.273
Ag 0.000 0.273 0.727
Au 0.500 0.500 0.500

Values from the calculation:
The calculation puts the uncorrected energy at -2.637 eV per atom. The density is 5.9 g/cm3. The formation energy is -1.825 eV/f.u.

---

(2)
Computed, not measured: a geometry-optimized Li8AgAu6 structure at the PBE level of DFT.

Cell: 7.789 7.789 6.959 Å, 55.97 55.97 60.00°
Fractional positions:
Li 0.578 0.198 0.348
Li 0.802 0.123 0.652
Li 0.123 0.422 0.652
Li 0.666 0.666 0.002
Li 0.334 0.334 0.998
Li 0.877 0.578 0.348
Li 0.198 0.877 0.348
Li 0.422 0.802 0.652
Ag 0.000 0.000 0.000
Au 0.400 0.049 0.845
Au 0.951 0.295 0.155
Au 0.295 0.600 0.155
Au 0.705 0.400 0.845
Au 0.049 0.705 0.845
Au 0.600 0.951 0.155

Values from the calculation:
The calculation puts the uncorrected energy at -2.911 eV per atom. The density is 8.0 g/cm3. The formation energy is -5.843 eV/f.u.

---

(3)
Computed, not measured: a geometry-optimized Li6Ag3Au structure at the PBE level of DFT.

Cell: 7.466 6.643 7.375 Å, 90.00 70.38 90.00°
Fractional positions:
Li 0.667 0.095 0.939
Li 0.681 0.219 0.595
Li 0.783 0.369 0.190
Li 0.217 0.631 0.810
Li 0.319 0.781 0.405
Li 0.333 0.905 0.061
Li 0.167 0.405 0.439
Li 0.181 0.281 0.095
Li 0.283 0.131 0.690
Li 0.717 0.869 0.310
Li 0.819 0.719 0.905
Li 0.833 0.595 0.561
Ag 0.557 0.842 0.704
Ag 0.500 0.500 0.000
Ag 0.443 0.158 0.296
Ag 0.057 0.658 0.204
Ag 0.000 0.000 0.500
Ag 0.943 0.342 0.796
Au 0.500 0.500 0.500
Au 0.000 0.000 0.000

Values from the calculation:
The calculation puts the uncorrected energy at -2.519 eV per atom. The density is 5.4 g/cm3. The formation energy is -1.873 eV/f.u.

---

(4)
Computed, not measured: a geometry-optimized LiAg2Au structure at the PBE level of DFT.

Cell: 2.898 2.898 8.149 Å, 90.00 90.00 90.00°
Fractional positions:
Ag 0.000 0.000 0.987
Ag 0.000 0.000 0.513
Au 0.500 0.500 0.250
Li 0.500 0.500 0.750

Values from the calculation:
The calculation puts the uncorrected energy at -2.841 eV per atom. The density is 10.2 g/cm3. The formation energy is -0.470 eV/f.u.